1.
Computed, not measured: a relaxed structure of CdPd2Pt6 at the PBE-GGA level of DFT.

Geometry as extended XYZ:
```
9
Lattice="3.6801 -7.1481 0.0000 3.6801 7.1481 0.0000 -0.5160 0.0000 2.7648" Properties=species:S:1:pos:R:3 pbc="T T T"
Cd 0.0000 0.0000 0.0000
Pd 3.4221 4.6949 1.3824
Pd 3.4221 -4.6949 1.3824
Pt 2.3611 2.3443 0.4492
Pt 2.0952 0.0000 1.8381
Pt 2.3611 -2.3443 0.4492
Pt 4.4831 2.3443 2.3156
Pt 4.7489 0.0000 0.9267
Pt 4.4831 -2.3443 2.3156
```

Calculated values
For the energy above the most stable polymorph in this dataset, the calculation gives 81 meV/atom. As for the space group: C2/m. The total magnetization is 0.000 μB per cell.



2.
Computed, not measured: a relaxed structure of Cd2Pd7Pt at the PBE-GGA level of DFT.

Geometry as extended XYZ:
```
10
Lattice="4.2231 -8.0783 0.0000 4.2231 8.0783 0.0000 0.0000 0.0000 2.7608" Properties=species:S:1:pos:R:3 pbc="T T T"
Cd 4.2231 5.1859 0.0000
Cd 4.2231 -5.1859 0.0000
Pd 0.0000 0.0000 0.0000
Pd 2.2940 1.4135 0.0000
Pd 4.2231 2.8233 1.3804
Pd 2.2940 -1.4135 0.0000
Pd 6.1521 1.4135 0.0000
Pd 4.2231 -2.8233 1.3804
Pd 6.1521 -1.4135 0.0000
Pt 4.2231 0.0000 1.3804
```

Calculated values
As for the space group: Cmmm. The total magnetization is 0.001 μB per cell. The value obtained for the total energy is -4.28 eV/atom.